[1]
# POsBr3 (PBE-GGA, optimized geometry)
# **Formation energy (no corrections)**: 1.055 eV per atom
# **V**: 24.938 Å³/atom
# **Offset from the most stable computed form**: 0.0 meV per atom
data_POsBr3
_chemical_formula_sum 'P1 Os1 Br3'
_cell_length_a 4.996
_cell_length_b 4.996
_cell_length_c 4.996
_cell_angle_alpha 90.00
_cell_angle_beta 90.00
_cell_angle_gamma 90.00
_space_group_name_H-M_alt 'P 1'
_space_group_IT_number 1
_space_group_name_Hall 'P 1'
loop_
_atom_site_label
_atom_site_type_symbol
_atom_site_fract_x
_atom_site_fract_y
_atom_site_fract_z
_atom_site_occupancy
P1 P 0.500 0.500 0.500 1
Os1 Os 0.000 0.000 0.000 1
Br1 Br 0.000 0.500 0.000 1
Br2 Br 0.000 0.000 0.500 1
Br3 Br 0.500 0.000 0.000 1

***

[2]
# POsBr4 (PBE-GGA, optimized geometry)
# **Formation energy (no corrections)**: 1.904 eV per atom
# **V**: 26.924 Å³/atom
data_POsBr4
_chemical_formula_sum 'P1 Os1 Br4'
_cell_length_a 6.113
_cell_length_b 6.113
_cell_length_c 6.113
_cell_angle_alpha 60.00
_cell_angle_beta 60.00
_cell_angle_gamma 60.00
_space_group_name_H-M_alt 'P 1'
_space_group_IT_number 1
_space_group_name_Hall 'P 1'
loop_
_atom_site_label
_atom_site_type_symbol
_atom_site_fract_x
_atom_site_fract_y
_atom_site_fract_z
_atom_site_occupancy
P1 P 0.000 0.000 0.000 1
Os1 Os 0.750 0.750 0.750 1
Br1 Br 0.874 0.375 0.375 1
Br2 Br 0.375 0.375 0.874 1
Br3 Br 0.375 0.874 0.375 1
Br4 Br 0.375 0.375 0.375 1

***

[3]
# P2OsBr (PBE-GGA, optimized geometry)
# **Formation energy (no corrections)**: 0.771 eV per atom
# **V**: 19.054 Å³/atom
# **Offset from the most stable computed form**: 700.5 meV per atom
data_P2OsBr
_chemical_formula_sum 'P2 Os1 Br1'
_cell_length_a 3.048
_cell_length_b 3.048
_cell_length_c 9.678
_cell_angle_alpha 90.00
_cell_angle_beta 90.00
_cell_angle_gamma 122.03
_space_group_name_H-M_alt 'P 1'
_space_group_IT_number 1
_space_group_name_Hall 'P 1'
loop_
_atom_site_label
_atom_site_type_symbol
_atom_site_fract_x
_atom_site_fract_y
_atom_site_fract_z
_atom_site_occupancy
Br1 Br 0.000 0.000 0.558 1
Os1 Os 0.500 0.500 0.797 1
P1 P 0.000 0.000 0.978 1
P2 P 0.500 0.500 0.167 1

***

[4]
# POsBr (PBE-GGA, optimized geometry)
# **Formation energy (no corrections)**: 0.022 eV per atom
# **V**: 23.873 Å³/atom
# **Offset from the most stable computed form**: 0.0 meV per atom
data_POsBr
_chemical_formula_sum 'P1 Os1 Br1'
_cell_length_a 3.643
_cell_length_b 3.643
_cell_length_c 6.233
_cell_angle_alpha 90.00
_cell_angle_beta 90.00
_cell_angle_gamma 120.00
_space_group_name_H-M_alt 'P 1'
_space_group_IT_number 1
_space_group_name_Hall 'P 1'
loop_
_atom_site_label
_atom_site_type_symbol
_atom_site_fract_x
_atom_site_fract_y
_atom_site_fract_z
_atom_site_occupancy
Br1 Br 0.000 0.000 0.097 1
Os1 Os 0.333 0.667 0.388 1
P1 P 0.667 0.333 0.515 1

***

[5]
# POsBr (PBE-GGA, optimized geometry)
# **Formation energy (no corrections)**: 0.473 eV per atom
# **V**: 18.965 Å³/atom
# **Offset from the most stable computed form**: 451.6 meV per atom
data_POsBr
_chemical_formula_sum 'P1 Os1 Br1'
_cell_length_a 6.679
_cell_length_b 6.679
_cell_length_c 6.679
_cell_angle_alpha 154.07
_cell_angle_beta 154.07
_cell_angle_gamma 37.00
_space_group_name_H-M_alt 'P 1'
_space_group_IT_number 1
_space_group_name_Hall 'P 1'
loop_
_atom_site_label
_atom_site_type_symbol
_atom_site_fract_x
_atom_site_fract_y
_atom_site_fract_z
_atom_site_occupancy
Br1 Br 0.975 0.975 0.000 1
Os1 Os 0.310 0.310 0.000 1
P1 P 0.716 0.716 0.000 1

***

[6]
# P2OsBr (PBE-GGA, optimized geometry)
# **Formation energy (no corrections)**: 0.070 eV per atom
# **V**: 24.059 Å³/atom
# **Offset from the most stable computed form**: 0.0 meV per atom
data_P2OsBr
_chemical_formula_sum 'P2 Os1 Br1'
_cell_length_a 4.280
_cell_length_b 4.280
_cell_length_c 7.852
_cell_angle_alpha 76.48
_cell_angle_beta 76.48
_cell_angle_gamma 43.74
_space_group_name_H-M_alt 'P 1'
_space_group_IT_number 1
_space_group_name_Hall 'P 1'
loop_
_atom_site_label
_atom_site_type_symbol
_atom_site_fract_x
_atom_site_fract_y
_atom_site_fract_z
_atom_site_occupancy
Br1 Br 0.400 0.400 0.587 1
Os1 Os 0.807 0.807 0.865 1
P1 P 0.076 0.076 0.929 1
P2 P 0.217 0.217 0.119 1

***

[7]
# POsBr3 (PBE-GGA, optimized geometry)
# **Formation energy (no corrections)**: 1.368 eV per atom
# **V**: 27.441 Å³/atom
# **Offset from the most stable computed form**: 312.1 meV per atom
data_POsBr3
_chemical_formula_sum 'P1 Os1 Br3'
_cell_length_a 5.158
_cell_length_b 5.158
_cell_length_c 5.158
_cell_angle_alpha 90.00
_cell_angle_beta 90.00
_cell_angle_gamma 90.00
_space_group_name_H-M_alt 'P 1'
_space_group_IT_number 1
_space_group_name_Hall 'P 1'
loop_
_atom_site_label
_atom_site_type_symbol
_atom_site_fract_x
_atom_site_fract_y
_atom_site_fract_z
_atom_site_occupancy
P1 P 0.000 0.000 0.000 1
Os1 Os 0.500 0.500 0.500 1
Br1 Br 0.000 0.500 0.000 1
Br2 Br 0.000 0.000 0.500 1
Br3 Br 0.500 0.000 0.000 1

***

[8]
# P2OsBr (PBE-GGA, optimized geometry)
# **Formation energy (no corrections)**: 0.481 eV per atom
# **V**: 20.701 Å³/atom
# **Offset from the most stable computed form**: 410.6 meV per atom
data_P2OsBr
_chemical_formula_sum 'P2 Os1 Br1'
_cell_length_a 2.895
_cell_length_b 2.895
_cell_length_c 11.555
_cell_angle_alpha 90.00
_cell_angle_beta 90.00
_cell_angle_gamma 121.24
_space_group_name_H-M_alt 'P 1'
_space_group_IT_number 1
_space_group_name_Hall 'P 1'
loop_
_atom_site_label
_atom_site_type_symbol
_atom_site_fract_x
_atom_site_fract_y
_atom_site_fract_z
_atom_site_occupancy
Br1 Br 0.500 0.500 0.250 1
Os1 Os 0.500 0.500 0.750 1
P1 P 0.000 0.000 0.919 1
P2 P 0.000 0.000 0.581 1

***

[9]
# P2OsBr (PBE-GGA, optimized geometry)
# **Formation energy (no corrections)**: 1.293 eV per atom
# **V**: 16.358 Å³/atom
# **Offset from the most stable computed form**: 1222.5 meV per atom
data_P2OsBr
_chemical_formula_sum 'P2 Os1 Br1'
_cell_length_a 4.819
_cell_length_b 3.685
_cell_length_c 3.685
_cell_angle_alpha 90.00
_cell_angle_beta 90.00
_cell_angle_gamma 90.00
_space_group_name_H-M_alt 'P 1'
_space_group_IT_number 1
_space_group_name_Hall 'P 1'
loop_
_atom_site_label
_atom_site_type_symbol
_atom_site_fract_x
_atom_site_fract_y
_atom_site_fract_z
_atom_site_occupancy
Br1 Br 0.500 0.500 0.000 1
Os1 Os 0.500 0.000 0.500 1
P1 P 0.000 0.000 0.000 1
P2 P 0.000 0.500 0.500 1

***

[10]
# Pm8POs3Br4 (PBE-GGA, optimized geometry)
# **Formation energy (no corrections)**: -0.862 eV per atom
# **V**: 28.578 Å³/atom
data_Pm8POs3Br4
_chemical_formula_sum 'Pm8 P1 Os3 Br4'
_cell_length_a 8.304
_cell_length_b 9.033
_cell_length_c 8.304
_cell_angle_alpha 117.36
_cell_angle_beta 120.00
_cell_angle_gamma 90.00
_space_group_name_H-M_alt 'P 1'
_space_group_IT_number 1
_space_group_name_Hall 'P 1'
loop_
_atom_site_label
_atom_site_type_symbol
_atom_site_fract_x
_atom_site_fract_y
_atom_site_fract_z
_atom_site_occupancy
Pm1 Pm 0.236 0.693 0.957 1
Pm2 Pm 0.236 0.693 0.472 1
Pm3 Pm 0.266 0.297 0.531 1
Pm4 Pm 0.721 0.693 0.957 1
Pm5 Pm 0.279 0.307 0.043 1
Pm6 Pm 0.734 0.703 0.469 1
Pm7 Pm 0.764 0.307 0.528 1
Pm8 Pm 0.764 0.307 0.043 1
P1 P 0.000 0.500 0.000 1
Os1 Os 0.500 0.500 0.000 1
Os2 Os 0.500 0.500 0.500 1
Os3 Os 0.000 0.500 0.500 1
Br1 Br 0.500 0.000 0.000 1
Br2 Br 0.500 0.000 0.500 1
Br3 Br 0.000 0.000 0.000 1
Br4 Br 0.000 0.000 0.500 1

***

[11]
# Pm6POs2Br3 (PBE-GGA, optimized geometry)
# **Formation energy (no corrections)**: -0.943 eV per atom
# **V**: 28.472 Å³/atom
data_Pm6POs2Br3
_chemical_formula_sum 'Pm6 P1 Os2 Br3'
_cell_length_a 7.211
_cell_length_b 7.211
_cell_length_c 7.963
_cell_angle_alpha 98.73
_cell_angle_beta 98.73
_cell_angle_gamma 120.01
_space_group_name_H-M_alt 'P 1'
_space_group_IT_number 1
_space_group_name_Hall 'P 1'
loop_
_atom_site_label
_atom_site_type_symbol
_atom_site_fract_x
_atom_site_fract_y
_atom_site_fract_z
_atom_site_occupancy
Pm1 Pm 0.935 0.591 0.803 1
Pm2 Pm 0.721 0.721 0.196 1
Pm3 Pm 0.065 0.409 0.197 1
Pm4 Pm 0.591 0.935 0.803 1
Pm5 Pm 0.279 0.279 0.804 1
Pm6 Pm 0.409 0.065 0.197 1
P1 P 0.000 0.000 0.000 1
Os1 Os 0.333 0.667 0.000 1
Os2 Os 0.667 0.333 0.000 1
Br1 Br 0.163 0.837 0.500 1
Br2 Br 0.837 0.163 0.500 1
Br3 Br 0.500 0.500 0.500 1

***

[12]
# Pr8P3OsBr4 (PBE-GGA, optimized geometry)
# **Formation energy (no corrections)**: -1.278 eV per atom
# **V**: 28.679 Å³/atom
data_Pr8P3OsBr4
_chemical_formula_sum 'Pr8 P3 Os1 Br4'
_cell_length_a 8.465
_cell_length_b 8.866
_cell_length_c 8.464
_cell_angle_alpha 118.52
_cell_angle_beta 120.00
_cell_angle_gamma 90.00
_space_group_name_H-M_alt 'P 1'
_space_group_IT_number 1
_space_group_name_Hall 'P 1'
loop_
_atom_site_label
_atom_site_type_symbol
_atom_site_fract_x
_atom_site_fract_y
_atom_site_fract_z
_atom_site_occupancy
Pr1 Pr 0.230 0.702 0.972 1
Pr2 Pr 0.230 0.702 0.461 1
Pr3 Pr 0.265 0.295 0.530 1
Pr4 Pr 0.741 0.702 0.972 1
Pr5 Pr 0.259 0.298 0.028 1
Pr6 Pr 0.735 0.705 0.470 1
Pr7 Pr 0.770 0.298 0.539 1
Pr8 Pr 0.770 0.298 0.028 1
P1 P 0.500 0.500 0.000 1
P2 P 0.500 0.500 0.500 1
P3 P 0.000 0.500 0.500 1
Os1 Os 0.000 0.500 0.000 1
Br1 Br 0.500 0.000 0.000 1
Br2 Br 0.500 0.000 0.500 1
Br3 Br 0.000 0.000 0.000 1
Br4 Br 0.000 0.000 0.500 1

***

[13]
# Pr6POs2Br3 (PBE-GGA, optimized geometry)
# **Formation energy (no corrections)**: -0.933 eV per atom
# **V**: 29.682 Å³/atom
data_Pr6POs2Br3
_chemical_formula_sum 'Pr6 P1 Os2 Br3'
_cell_length_a 7.311
_cell_length_b 7.311
_cell_length_c 8.076
_cell_angle_alpha 98.74
_cell_angle_beta 98.74
_cell_angle_gamma 119.99
_space_group_name_H-M_alt 'P 1'
_space_group_IT_number 1
_space_group_name_Hall 'P 1'
loop_
_atom_site_label
_atom_site_type_symbol
_atom_site_fract_x
_atom_site_fract_y
_atom_site_fract_z
_atom_site_occupancy
Pr1 Pr 0.935 0.591 0.802 1
Pr2 Pr 0.722 0.722 0.198 1
Pr3 Pr 0.065 0.409 0.198 1
Pr4 Pr 0.591 0.935 0.802 1
Pr5 Pr 0.278 0.278 0.802 1
Pr6 Pr 0.409 0.065 0.198 1
P1 P 0.000 0.000 0.000 1
Os1 Os 0.333 0.667 0.000 1
Os2 Os 0.667 0.333 0.000 1
Br1 Br 0.164 0.836 0.500 1
Br2 Br 0.836 0.164 0.500 1
Br3 Br 0.500 0.500 0.500 1

***

[14]
# Pr8POs3Br4 (PBE-GGA, optimized geometry)
# **Formation energy (no corrections)**: -0.850 eV per atom
# **V**: 29.766 Å³/atom
data_Pr8POs3Br4
_chemical_formula_sum 'Pr8 P1 Os3 Br4'
_cell_length_a 8.416
_cell_length_b 9.160
_cell_length_c 8.416
_cell_angle_alpha 117.36
_cell_angle_beta 120.00
_cell_angle_gamma 90.00
_space_group_name_H-M_alt 'P 1'
_space_group_IT_number 1
_space_group_name_Hall 'P 1'
loop_
_atom_site_label
_atom_site_type_symbol
_atom_site_fract_x
_atom_site_fract_y
_atom_site_fract_z
_atom_site_occupancy
Pr1 Pr 0.236 0.694 0.958 1
Pr2 Pr 0.236 0.694 0.472 1
Pr3 Pr 0.265 0.296 0.530 1
Pr4 Pr 0.722 0.694 0.958 1
Pr5 Pr 0.278 0.306 0.042 1
Pr6 Pr 0.735 0.704 0.470 1
Pr7 Pr 0.764 0.306 0.528 1
Pr8 Pr 0.764 0.306 0.042 1
P1 P 0.000 0.500 0.000 1
Os1 Os 0.500 0.500 0.000 1
Os2 Os 0.500 0.500 0.500 1
Os3 Os 0.000 0.500 0.500 1
Br1 Br 0.500 0.000 0.000 1
Br2 Br 0.500 0.000 0.500 1
Br3 Br 0.000 0.000 0.000 1
Br4 Br 0.000 0.000 0.500 1

***

[15]
# POs2PtBr (PBE-GGA, optimized geometry)
# **Formation energy (no corrections)**: 2.400 eV per atom
# **V**: 19.025 Å³/atom
data_POs2PtBr
_chemical_formula_sum 'P1 Os2 Pt1 Br1'
_cell_length_a 4.540
_cell_length_b 4.616
_cell_length_c 4.540
_cell_angle_alpha 90.00
_cell_angle_beta 90.00
_cell_angle_gamma 90.00
_space_group_name_H-M_alt 'P 1'
_space_group_IT_number 1
_space_group_name_Hall 'P 1'
loop_
_atom_site_label
_atom_site_type_symbol
_atom_site_fract_x
_atom_site_fract_y
_atom_site_fract_z
_atom_site_occupancy
P1 P 0.000 0.500 0.000 1
Os1 Os 0.000 0.000 0.500 1
Os2 Os 0.500 0.000 0.000 1
Br1 Br 0.000 0.000 0.000 1
Pt1 Pt 0.500 0.500 0.500 1

***

[16]
# Rb2POsBr6 (PBE-GGA, optimized geometry)
# **Formation energy (no corrections)**: -0.481 eV per atom
# **V**: 32.054 Å³/atom
data_Rb2POsBr6
_chemical_formula_sum 'Rb2 P1 Os1 Br6'
_cell_length_a 7.376
_cell_length_b 7.376
_cell_length_c 7.869
_cell_angle_alpha 62.05
_cell_angle_beta 62.05
_cell_angle_gamma 90.00
_space_group_name_H-M_alt 'P 1'
_space_group_IT_number 1
_space_group_name_Hall 'P 1'
loop_
_atom_site_label
_atom_site_type_symbol
_atom_site_fract_x
_atom_site_fract_y
_atom_site_fract_z
_atom_site_occupancy
P1 P 0.500 0.500 0.000 1
Os1 Os 0.000 0.000 0.000 1
Br1 Br 0.215 0.215 0.570 1
Br2 Br 0.785 0.785 0.430 1
Br3 Br 0.247 0.247 0.000 1
Br4 Br 0.753 0.753 0.000 1
Br5 Br 0.753 0.247 0.000 1
Br6 Br 0.247 0.753 0.000 1
Rb1 Rb 0.750 0.250 0.500 1
Rb2 Rb 0.250 0.750 0.500 1

***

[17]
# POsS2Br (PBE-GGA, optimized geometry)
# **Formation energy (no corrections)**: 2.183 eV per atom
# **V**: 21.495 Å³/atom
# **Offset from the most stable computed form**: 1611.8 meV per atom
data_POsS2Br
_chemical_formula_sum 'P1 Os1 S2 Br1'
_cell_length_a 4.663
_cell_length_b 4.663
_cell_length_c 4.943
_cell_angle_alpha 90.00
_cell_angle_beta 90.00
_cell_angle_gamma 90.00
_space_group_name_H-M_alt 'P 1'
_space_group_IT_number 1
_space_group_name_Hall 'P 1'
loop_
_atom_site_label
_atom_site_type_symbol
_atom_site_fract_x
_atom_site_fract_y
_atom_site_fract_z
_atom_site_occupancy
P1 P 0.000 0.000 0.500 1
S1 S 0.000 0.500 0.000 1
S2 S 0.500 0.000 0.000 1
Os1 Os 0.500 0.500 0.500 1
Br1 Br 0.000 0.000 0.000 1

***

[18]
# POsS2Br (PBE-GGA, optimized geometry)
# **Formation energy (no corrections)**: 0.571 eV per atom
# **V**: 20.582 Å³/atom
# **Offset from the most stable computed form**: 0.0 meV per atom
data_POsS2Br
_chemical_formula_sum 'P1 Os1 S2 Br1'
_cell_length_a 4.487
_cell_length_b 4.487
_cell_length_c 5.111
_cell_angle_alpha 90.00
_cell_angle_beta 90.00
_cell_angle_gamma 90.00
_space_group_name_H-M_alt 'P 1'
_space_group_IT_number 1
_space_group_name_Hall 'P 1'
loop_
_atom_site_label
_atom_site_type_symbol
_atom_site_fract_x
_atom_site_fract_y
_atom_site_fract_z
_atom_site_occupancy
P1 P 0.000 0.000 0.500 1
S1 S 0.000 0.500 0.000 1
S2 S 0.500 0.000 0.000 1
Os1 Os 0.000 0.000 0.000 1
Br1 Br 0.500 0.500 0.500 1

***

[19]
# P2OsSBr (PBE-GGA, optimized geometry)
# **Formation energy (no corrections)**: 0.618 eV per atom
# **V**: 20.142 Å³/atom
# **Offset from the most stable computed form**: 0.0 meV per atom
data_P2OsSBr
_chemical_formula_sum 'P2 Os1 S1 Br1'
_cell_length_a 4.659
_cell_length_b 4.659
_cell_length_c 4.640
_cell_angle_alpha 90.00
_cell_angle_beta 90.00
_cell_angle_gamma 90.00
_space_group_name_H-M_alt 'P 1'
_space_group_IT_number 1
_space_group_name_Hall 'P 1'
loop_
_atom_site_label
_atom_site_type_symbol
_atom_site_fract_x
_atom_site_fract_y
_atom_site_fract_z
_atom_site_occupancy
P1 P 0.000 0.500 0.000 1
P2 P 0.500 0.000 0.000 1
S1 S 0.000 0.000 0.500 1
Os1 Os 0.000 0.000 0.000 1
Br1 Br 0.500 0.500 0.500 1

***

[20]
# P2OsSBr (PBE-GGA, optimized geometry)
# **Formation energy (no corrections)**: 2.227 eV per atom
# **V**: 19.575 Å³/atom
# **Offset from the most stable computed form**: 1609.0 meV per atom
data_P2OsSBr
_chemical_formula_sum 'P2 Os1 S1 Br1'
_cell_length_a 4.648
_cell_length_b 4.648
_cell_length_c 4.530
_cell_angle_alpha 90.00
_cell_angle_beta 90.00
_cell_angle_gamma 90.00
_space_group_name_H-M_alt 'P 1'
_space_group_IT_number 1
_space_group_name_Hall 'P 1'
loop_
_atom_site_label
_atom_site_type_symbol
_atom_site_fract_x
_atom_site_fract_y
_atom_site_fract_z
_atom_site_occupancy
P1 P 0.000 0.500 0.000 1
P2 P 0.500 0.000 0.000 1
S1 S 0.000 0.000 0.500 1
Os1 Os 0.500 0.500 0.500 1
Br1 Br 0.000 0.000 0.000 1